Below is an optimized crystal structure of HfReSnCl2, with properties calculated at the PBE level.

Geometry as extended XYZ:
```
5
Lattice="4.816 0.000 0.000 0.000 4.816 0.000 0.000 0.000 5.353" Properties=species:S:1:pos:R:3 pbc="T T T"
Hf 0.000 0.000 0.000
Re 0.000 0.000 2.676
Sn 2.408 2.408 2.676
Cl 0.000 2.408 0.000
Cl 2.408 0.000 0.000
```

E_form (uncorrected)   0.340 eV per atom
D(E_F)   0.4654 states/eV/atom

Below is an optimized crystal structure of CaNi5H4, with properties calculated at the PBE level.

Geometry as extended XYZ:
```
20
Lattice="5.479 0.000 0.000 0.000 7.780 0.000 0.000 0.000 4.255" Properties=species:S:1:pos:R:3 pbc="T T T"
Ca 1.370 1.945 1.011
Ca 4.109 5.835 3.244
Ni 0.079 4.494 1.037
Ni 0.079 7.176 1.037
Ni 1.370 5.835 3.245
Ni 2.661 4.494 1.037
Ni 2.661 7.176 1.037
Ni 2.818 0.604 3.218
Ni 2.818 3.286 3.218
Ni 4.109 1.945 1.010
Ni 5.400 0.604 3.218
Ni 5.400 3.286 3.218
H 0.360 5.835 1.899
H 1.370 4.128 3.990
H 1.370 7.542 3.990
H 2.379 5.835 1.899
H 3.100 1.945 2.356
H 4.109 0.238 0.265
H 4.109 3.652 0.265
H 5.118 1.945 2.356
```

D(E_F)   0.7729 states/eV/atom

Below is an optimized crystal structure of BaSrSbCl, with properties calculated at the PBE level.

Geometry as extended XYZ:
```
4
Lattice="0.000 4.076 4.076 4.076 0.000 4.076 4.076 4.076 0.000" Properties=species:S:1:pos:R:3 pbc="T T T"
Ba 0.000 0.000 0.000
Sr 4.076 4.076 4.076
Sb 6.114 6.114 6.114
Cl 2.038 2.038 2.038
```

E_form (uncorrected)   -1.486 eV per atom

Below is an optimized crystal structure of Tl4Te2I, with properties calculated at the PBE level.

Geometry as extended XYZ:
```
14
Lattice="9.156 0.000 0.000 -2.891 8.717 0.000 -3.122 -4.345 7.465" Properties=species:S:1:pos:R:3 pbc="T T T"
Tl -0.667 -0.069 3.215
Tl -3.137 2.855 6.954
Tl -0.763 4.427 3.203
Tl 1.446 2.841 0.498
Tl 1.697 1.531 6.967
Tl 3.905 -0.054 4.262
Tl 6.280 1.518 0.511
Tl 3.809 4.442 4.250
Te 0.000 0.000 0.000
Te -1.446 4.359 0.000
Te -3.007 2.186 3.732
Te 1.571 2.186 3.732
I 0.746 -2.185 5.567
I 2.396 6.557 1.898
```

E_form (uncorrected)   -0.310 eV per atom
D(E_F)   0.4916 states/eV/atom

Below is an optimized crystal structure of GdHfGaRu, with properties calculated at the PBE level.

Geometry as extended XYZ:
```
4
Lattice="0.000 3.406 3.406 3.406 0.000 3.406 3.406 3.406 0.000" Properties=species:S:1:pos:R:3 pbc="T T T"
Gd 0.000 0.000 0.000
Hf 3.406 3.406 3.406
Ga 5.109 5.109 5.109
Ru 1.703 1.703 1.703
```

D(E_F)   0.7718 states/eV/atom
Formation energy   -34.7 kJ per mole of atoms

Below is an optimized crystal structure of AcSm2Pd2, with properties calculated at the PBE level.

Geometry as extended XYZ:
```
10
Lattice="5.381 0.000 0.000 0.000 4.925 0.000 -0.994 0.000 10.914" Properties=species:S:1:pos:R:3 pbc="T T T"
Ac 0.805 1.231 2.522
Ac 3.581 3.693 8.393
Sm 0.847 3.693 5.449
Sm 0.897 1.231 9.713
Sm 3.489 3.693 1.202
Sm 3.539 1.231 5.465
Pd 0.836 3.693 0.177
Pd 0.838 1.231 6.844
Pd 3.548 3.693 4.071
Pd 3.550 1.231 10.738
```

D(E_F)   0.9582 states/eV/atom
Formation energy   -60.7 kJ per mole of atoms

Result set for E_tot: -28.40 -88.98 -15.52 -38.94 -37.78 -54.16 eV/cell, one per record in the order listed.